This record from Alexandria describes a relaxed structure of Si23Xe. The functional is PBE.

Unit cell a=10.3133 b=10.3133 c=10.3133 alpha=90.00 beta=90.00 gamma=90.00
With the nearest neighbours (Å) after each atom.
Sites, in units of the cell vectors:
Si: 0.1182 0.0000 0.6911  4 Si 2.39-2.44
Si: 0.5000 0.6182 0.8089  4 Si 2.39-2.44
Si: 0.6847 0.6847 0.3153  4 Si 2.33-2.40
Si: 0.6911 0.1182 0.0000  4 Si 2.39-2.44
Si: 0.7500 0.0000 0.5000  4 Si 2.39
Si: 0.8818 0.0000 0.3089  4 Si 2.39-2.44
Si: 0.0000 0.6911 0.1182  4 Si 2.39-2.44
Si: 0.3818 0.1911 0.5000  4 Si 2.39-2.44
Si: 0.6182 0.1911 0.5000  4 Si 2.39-2.44
Si: 0.8153 0.8153 0.8153  4 Si 2.33-2.40
Si: 0.1847 0.1847 0.8153  4 Si 2.33-2.40
Si: 0.8089 0.5000 0.6182  4 Si 2.39-2.44
Si: 0.3818 0.8089 0.5000  4 Si 2.39-2.44
Si: 0.6847 0.3153 0.3153  4 Si 2.33-2.40
Si: 0.1847 0.8153 0.8153  4 Si 2.33-2.40
Si: 0.1911 0.5000 0.6182  4 Si 2.39-2.44
Si: 0.3089 0.1182 0.0000  4 Si 2.39-2.44
Si: 0.6847 0.6847 0.6847  4 Si 2.33-2.40
Si: 0.1911 0.5000 0.3818  4 Si 2.39-2.44
Si: 0.1847 0.1847 0.1847  4 Si 2.33-2.40
Si: 0.5000 0.3818 0.1911  4 Si 2.39-2.44
Si: 0.8153 0.1847 0.8153  4 Si 2.33-2.40
Si: 0.3153 0.3153 0.3153  4 Si 2.33-2.40
Si: 0.6847 0.3153 0.6847  4 Si 2.33-2.40
Si: 0.1847 0.8153 0.1847  4 Si 2.33-2.40
Si: 0.3153 0.6847 0.3153  4 Si 2.33-2.40
Si: 0.5000 0.6182 0.1911  4 Si 2.39-2.44
Si: 0.6911 0.8818 0.0000  4 Si 2.39-2.44
Si: 0.8153 0.8153 0.1847  4 Si 2.33-2.40
Si: 0.6182 0.8089 0.5000  4 Si 2.39-2.44
Si: 0.0000 0.6911 0.8818  4 Si 2.39-2.44
Si: 0.8818 0.0000 0.6911  4 Si 2.39-2.44
Si: 0.3153 0.3153 0.6847  4 Si 2.33-2.40
Si: 0.8153 0.1847 0.1847  4 Si 2.33-2.40
Si: 0.3089 0.8818 0.0000  4 Si 2.39-2.44
Si: 0.0000 0.3089 0.1182  4 Si 2.39-2.44
Si: 0.5000 0.2500 0.0000  4 Si 2.39
Si: 0.3153 0.6847 0.6847  4 Si 2.33-2.40
Si: 0.0000 0.3089 0.8818  4 Si 2.39-2.44
Si: 0.0000 0.5000 0.2500  4 Si 2.39
Si: 0.2500 0.0000 0.5000  4 Si 2.39
Si: 0.0000 0.5000 0.7500  4 Si 2.39
Si: 0.5000 0.7500 0.0000  4 Si 2.39
Si: 0.8089 0.5000 0.3818  4 Si 2.39-2.44
Si: 0.5000 0.3818 0.8089  4 Si 2.39-2.44
Si: 0.1182 0.0000 0.3089  4 Si 2.39-2.44
Xe: 0.5000 0.5000 0.5000  20 Si 3.30-3.41
Xe: 0.0000 0.0000 0.0000  20 Si 3.30-3.41

Uncorrected energy in eV per atom: -5.054